i.
Entry from Alexandria via LeMat-Bulk: a relaxed structure of Nd5Te4I (PBE-GGA).

Lattice parameters (Å, degrees): 4.482 4.482 16.428 97.84 97.84 90.00
Positions (direct):
1 Te 0.403 0.403 0.806
2 Te 0.597 0.597 0.194
3 Te 0.795 0.795 0.590
4 Te 0.205 0.205 0.410
5 I 0.000 0.000 0.000
6 Nd 0.500 0.500 0.000
7 Nd 0.307 0.307 0.614
8 Nd 0.693 0.693 0.386
9 Nd 0.894 0.894 0.787
10 Nd 0.106 0.106 0.213

## Properties
For the volume, the calculation gives 324 Å³/cell. The symmetry is No. 139.

ii.
Entry from Alexandria via LeMat-Bulk: a relaxed structure of Nd5Te4I (PBE-GGA).

Lattice parameters (Å, degrees): 4.503 4.503 18.650 83.07 83.07 60.00
Positions (direct):
1 Te 0.901 0.901 0.297
2 Te 0.300 0.300 0.100
3 Te 0.099 0.099 0.703
4 Te 0.700 0.700 0.900
5 Nd 0.796 0.796 0.611
6 Nd 0.204 0.204 0.389
7 Nd 0.600 0.600 0.201
8 Nd 0.400 0.400 0.799
9 Nd 0.000 0.000 0.000
10 I 0.500 0.500 0.500

## Properties
For the volume, the calculation gives 324 Å³/cell. The symmetry is No. 166.

Which structure is the most stable? The one labeled ii.

i.
Entry from Alexandria via LeMat-Bulk: a relaxed structure of NdTlI4 (PBE-GGA).

Lattice parameters (Å, degrees): 4.662 7.947 8.767 100.40 89.99 107.24
Positions (direct):
1 Nd 0.000 0.000 0.000
2 Tl 0.500 0.000 0.500
3 I 0.878 0.758 0.675
4 I 0.620 0.238 0.895
5 I 0.380 0.762 0.105
6 I 0.122 0.242 0.325

## Properties
For the volume, the calculation gives 305 Å³/cell. The symmetry is No. 2.

ii.
Entry from Alexandria via LeMat-Bulk: a relaxed structure of NdTlI4 (PBE-GGA).

Lattice parameters (Å, degrees): 7.713 9.100 9.207 113.49 107.82 103.20
Positions (direct):
1 Nd 0.249 0.999 0.999
2 Nd 0.751 0.001 0.001
3 I 0.632 0.055 0.328
4 I 0.196 0.273 0.328
5 I 0.804 0.727 0.672
6 I 0.990 0.783 0.129
7 I 0.361 0.654 0.871
8 I 0.010 0.217 0.871
9 I 0.368 0.945 0.672
10 I 0.639 0.346 0.129
11 Tl 0.380 0.630 0.260
12 Tl 0.620 0.370 0.740

## Properties
For the volume, the calculation gives 517 Å³/cell. The symmetry is No. 15.

Which structure is the most stable? The one labeled i.

i.
Entry from Alexandria via LeMat-Bulk: a relaxed structure of NdTmI (PBE-GGA).

Lattice parameters (Å, degrees): 5.544 3.744 9.787 78.97 90.00 90.00
Positions (direct):
1 Nd 0.250 0.128 0.743
2 Nd 0.750 0.872 0.257
3 I 0.750 0.693 0.613
4 I 0.250 0.307 0.387
5 Tm 0.250 0.468 0.065
6 Tm 0.750 0.532 0.935

## Properties
For the volume, the calculation gives 199 Å³/cell. The symmetry is No. 63.

ii.
Entry from Alexandria via LeMat-Bulk: a relaxed structure of NdTmI (PBE-GGA).

Lattice parameters (Å, degrees): 3.832 5.428 5.428 120.00 90.00 90.00
Positions (direct):
1 Nd 0.611 0.667 0.333
2 Tm 0.129 0.000 0.000
3 I 0.260 0.333 0.667

## Properties
For the volume, the calculation gives 98 Å³/cell. The symmetry is No. 156.

Which structure is the most stable? The one labeled i.

i.
Entry from Alexandria via LeMat-Bulk: a relaxed structure of NdY2I (PBE-GGA).

Lattice parameters (Å, degrees): 3.794 3.794 10.792 79.87 79.87 60.00
Positions (direct):
1 Y 0.256 0.256 0.231
2 Y 0.077 0.077 0.768
3 Nd 0.500 0.500 0.501
4 I 0.667 0.667 0.000

## Properties
For the volume, the calculation gives 132 Å³/cell. The symmetry is No. 160.

ii.
Entry from Alexandria via LeMat-Bulk: a relaxed structure of NdY2I (PBE-GGA).

Lattice parameters (Å, degrees): 3.632 3.632 11.951 81.26 81.26 60.00
Positions (direct):
1 Y 0.096 0.096 0.711
2 Y 0.904 0.904 0.289
3 Nd 0.000 0.000 0.000
4 I 0.500 0.500 0.500

## Properties
For the volume, the calculation gives 134 Å³/cell. The symmetry is No. 166.

Which structure is the most stable? The one labeled i.